Here is crystalline CuNiOs4 at its relaxed geometry from the Alexandria database. Energies are from PBE.

As for the calculated formation energy: 950 meV per atom. The calculation puts the total energy at -8.183 eV per atom.

Lattice parameters (Å, degrees): 7.1972 7.1972 7.1972 90.00 90.00 90.00
Last column: nearest neighbours and their distance in Å.
Space group F-43m (No. 216)
Unique sites:
Cu: 0.0000 0.0000 0.0000  12 Os 2.98, 4 Ni 3.12
Ni: 0.2500 0.2500 0.7500  12 Os 2.98, 4 Cu 3.12
Os: 0.1248 0.1248 0.3752  6 Os 2.54-2.55